Ag2RuW: relaxed, PBE.

Results
The space-group type is R-3m (166). The energy above the most stable polymorph in this dataset is 354 meV/atom.

a = 9.8406 Å, b = 9.8406 Å, c = 9.8406 Å
α = 16.24°, β = 16.24°, γ = 16.24°
Last column: nearest neighbours and their distance in Å.
Sites, in units of the cell vectors:
Ag 0.9989 0.9989 0.9989  6 Ag 2.78, 3 Ru 2.88, 3 W 2.94
Ag 0.5011 0.5011 0.5011  6 Ag 2.78, 3 Ru 2.88, 3 W 2.94
Ru 0.2500 0.2500 0.2500  6 Ru 2.78, 6 Ag 2.88
W 0.7500 0.7500 0.7500  6 W 2.78, 6 Ag 2.94



AgRuW2: relaxed, PBE.

Results
The space-group type is P4/mmm (123). The energy above the most stable polymorph in this dataset is 41 meV/atom.

a = 2.7862 Å, b = 2.7862 Å, c = 8.2118 Å
α = 90.00°, β = 90.00°, γ = 90.00°
Last column: nearest neighbours and their distance in Å.
Sites, in units of the cell vectors:
Ag 0.5000 0.5000 0.2500  4 Ag 2.79, 8 W 2.98
Ru 0.5000 0.5000 0.7500  8 W 2.72, 4 Ru 2.79
W 0.0000 0.0000 0.9779  4 Ru 2.72, 4 W 2.79, 4 Ag 2.98
W 0.0000 0.0000 0.5221  4 Ru 2.72, 4 W 2.79, 4 Ag 2.98



| no. | ΔE_f (eV/atom) |
| --- | --- |
| 1 | 0.60 |
| 2 | 0.38 |